1.
Below is a relaxed structure of SmInNi, with properties calculated at the GGA-PBE level.

Calculated values
- energy of formation from the pure elements (meV per atom) = -476.1
- raw total energy (eV per atom) = -4.89
- ρ (g/cm3) = 8.45
- magnetization (Bohr magnetons per cell) = 0.00

abc: 3.8296 7.5880 7.5880
angles: 120.00 90.00 90.00
With the nearest neighbours (Å) after each atom.
Fractional coordinates of all 9 atoms:
Ni1 0.5000 0.0000 0.0000  6 In 2.70
Ni2 0.0000 0.3333 0.6667  3 In 2.89, 6 Sm 2.98
Ni3 0.0000 0.6667 0.3333  3 In 2.89, 6 Sm 2.98
Sm1 0.5000 0.0000 0.5874  5 Ni 2.98-3.13, 6 In 3.19-3.34
Sm2 0.5000 0.4126 0.4126  5 Ni 2.98-3.13, 6 In 3.19-3.34
Sm3 0.5000 0.5874 0.0000  5 Ni 2.98-3.13, 6 In 3.19-3.34
In1 0.0000 0.0000 0.2518  4 Ni 2.70-2.89
In2 0.0000 0.7482 0.7482  4 Ni 2.70-2.89
In3 0.0000 0.2518 0.0000  4 Ni 2.70-2.89

2.
Below is a relaxed structure of SmSeCl, with properties calculated at the GGA-PBE level.

Calculated values
- raw total energy (eV per atom) = -5.32
- ρ (g/cm3) = 4.32
- formation energy (no corrections) (meV/atom) = -1972
- magnetization (Bohr magnetons per cell) = 0.00

abc: 4.2211 4.2211 6.5964
angles: 90.00 90.00 120.00
With the nearest neighbours (Å) after each atom.
Fractional coordinates of all 3 atoms:
Se1 0.0000 0.0000 0.1086  3 Sm 2.83
Sm1 0.6667 0.3333 0.3261  3 Se 2.83, 3 Cl 2.90
Cl1 0.3333 0.6667 0.5653  3 Sm 2.90

3.
Below is a relaxed structure of SbPRh2, with properties calculated at the GGA-PBE level.

Calculated values
- raw total energy (eV per atom) = -6.15
- ρ (g/cm3) = 9.38
- energy above the lowest structure with this stoichiometry (eV/atom) = 0.358
- formation energy (no corrections) (meV/atom) = -88
- magnetization (Bohr magnetons per cell) = 0.00

abc: 4.4773 4.4773 4.4773
angles: 60.00 60.00 60.00
With the nearest neighbours (Å) after each atom.
Fractional coordinates of all 4 atoms:
Sb1 0.5000 0.5000 0.5000  8 Rh 2.74
Rh1 0.2500 0.2500 0.2500  4 Sb 2.74, 4 P 2.74
Rh2 0.7500 0.7500 0.7500  4 Sb 2.74, 4 P 2.74
P1 0.0000 0.0000 0.0000  8 Rh 2.74

4.
Below is a relaxed structure of SrNiTe2H, with properties calculated at the GGA-PBE level.

Calculated values
- raw total energy (eV per atom) = -3.84
- ρ (g/cm3) = 6.13
- magnetization (Bohr magnetons per cell) = 0.00

abc: 5.5364 3.5581 5.5364
angles: 90.00 90.00 90.00
With the nearest neighbours (Å) after each atom.
Fractional coordinates of all 5 atoms:
Sr1 0.5000 0.5000 0.5000  8 Te 3.29, 2 Sr 3.56
Te1 0.0000 0.0000 0.5000  2 Ni 2.77
Te2 0.5000 0.0000 0.0000  2 Ni 2.77
H1 0.0000 0.5000 0.0000  2 Ni 1.78
Ni1 0.0000 0.0000 0.0000  2 H 1.78

- Number 1 is which compound?
  SmInNi

What did the second record say?
Below is a relaxed structure of SmSeCl, with properties calculated at the GGA-PBE level.

Calculated values
- raw total energy (eV per atom) = -5.32
- ρ (g/cm3) = 4.32
- formation energy (no corrections) (meV/atom) = -1972
- magnetization (Bohr magnetons per cell) = 0.00

abc: 4.2211 4.2211 6.5964
angles: 90.00 90.00 120.00
With the nearest neighbours (Å) after each atom.
Fractional coordinates of all 3 atoms:
Se1 0.0000 0.0000 0.1086  3 Sm 2.83
Sm1 0.6667 0.3333 0.3261  3 Se 2.83, 3 Cl 2.90
Cl1 0.3333 0.6667 0.5653  3 Sm 2.90

What did the first record say?
Below is a relaxed structure of SmInNi, with properties calculated at the GGA-PBE level.

Calculated values
- energy of formation from the pure elements (meV per atom) = -476.1
- raw total energy (eV per atom) = -4.89
- ρ (g/cm3) = 8.45
- magnetization (Bohr magnetons per cell) = 0.00

abc: 3.8296 7.5880 7.5880
angles: 120.00 90.00 90.00
With the nearest neighbours (Å) after each atom.
Fractional coordinates of all 9 atoms:
Ni1 0.5000 0.0000 0.0000  6 In 2.70
Ni2 0.0000 0.3333 0.6667  3 In 2.89, 6 Sm 2.98
Ni3 0.0000 0.6667 0.3333  3 In 2.89, 6 Sm 2.98
Sm1 0.5000 0.0000 0.5874  5 Ni 2.98-3.13, 6 In 3.19-3.34
Sm2 0.5000 0.4126 0.4126  5 Ni 2.98-3.13, 6 In 3.19-3.34
Sm3 0.5000 0.5874 0.0000  5 Ni 2.98-3.13, 6 In 3.19-3.34
In1 0.0000 0.0000 0.2518  4 Ni 2.70-2.89
In2 0.0000 0.7482 0.7482  4 Ni 2.70-2.89
In3 0.0000 0.2518 0.0000  4 Ni 2.70-2.89